Below is a relaxed TiAl6Au crystal, with properties calculated at the PBE level.

Fermi-level density of states: 0.41 states/eV per atom
formation energy: -0.11 eV/atom

a = 5.5044 Å, b = 5.5044 Å, c = 5.5048 Å
α = 105.11°, β = 105.11°, γ = 105.11°
Last column: nearest neighbours and their distance in Å.
Element x y z (fractional)
Ti 0.0000 0.0000 0.0000  6 Al 2.71
Al 0.2072 0.2072 0.6721  1 Au 2.52, 3 Al 2.60-2.73, 1 Ti 2.71
Al 0.6720 0.2073 0.2072  1 Au 2.52, 3 Al 2.60-2.73, 1 Ti 2.71
Al 0.7928 0.7928 0.3279  1 Au 2.52, 3 Al 2.60-2.73, 1 Ti 2.71
Al 0.7927 0.3280 0.7928  1 Au 2.52, 3 Al 2.60-2.73, 1 Ti 2.71
Al 0.3280 0.7927 0.7928  1 Au 2.52, 3 Al 2.60-2.73, 1 Ti 2.71
Al 0.2073 0.6720 0.2072  1 Au 2.52, 3 Al 2.60-2.73, 1 Ti 2.71
Au 0.5000 0.5000 0.5000  6 Al 2.52